(1)
A relaxed structure of BaMgPbAu2. Source: OQMD, functional PBE.

```
5
Lattice="-2.3276 2.3276 6.2419 2.3276 -2.3276 6.2419 2.3276 2.3276 -6.2419" Properties=species:S:1:pos:R:3 pbc="T T T"
Ba 0.0000 0.0000 0.0000
Mg 2.3276 0.0000 3.1209
Pb 0.0000 2.3276 3.1209
Au 0.0000 0.0000 4.8420
Au 0.0000 0.0000 7.6417
```

Results
DFT total energy   -3.277 eV per atom
Crystal system   tetragonal
Mass density   9.364 Mg/m³

(2)
A relaxed structure of BaMgScAu. Source: OQMD, functional PBE.

```
4
Lattice="0.0000 3.7244 3.7244 3.7244 0.0000 3.7244 3.7244 3.7244 0.0000" Properties=species:S:1:pos:R:3 pbc="T T T"
Ba 0.0000 0.0000 0.0000
Mg 3.7244 3.7244 3.7244
Sc 5.5865 5.5865 5.5865
Au 1.8622 1.8622 1.8622
```

Results
DFT total energy   -3.275 eV per atom
Magnetization   0.0 μB/f.u.
Crystal system   cubic
Mass density   6.486 Mg/m³

(3)
A relaxed structure of BaMgScAu. Source: OQMD, functional PBE.

```
4
Lattice="0.0000 3.7971 3.7971 3.7971 0.0000 3.7971 3.7971 3.7971 0.0000" Properties=species:S:1:pos:R:3 pbc="T T T"
Ba 0.0000 0.0000 0.0000
Mg 1.8985 1.8985 1.8985
Sc 3.7971 3.7971 3.7971
Au 5.6956 5.6956 5.6956
```

Results
DFT total energy   -3.374 eV per atom
Magnetization   0.0 μB/f.u.
Crystal system   cubic
Mass density   6.120 Mg/m³

(4)
A relaxed structure of BaMgScAu. Source: OQMD, functional PBE.

```
4
Lattice="0.0000 3.6523 3.6523 3.6523 0.0000 3.6523 3.6523 3.6523 0.0000" Properties=species:S:1:pos:R:3 pbc="T T T"
Ba 0.0000 0.0000 0.0000
Mg 5.4785 5.4785 5.4785
Sc 1.8262 1.8262 1.8262
Au 3.6523 3.6523 3.6523
```

Results
DFT total energy   -3.338 eV per atom
Magnetization   0.0 μB/f.u.
Crystal system   cubic
Mass density   6.877 Mg/m³

(5)
A relaxed structure of BaMg2SiAu. Source: OQMD, functional PBE.

```
5
Lattice="-2.3012 2.3012 5.8563 2.3012 -2.3012 5.8563 2.3012 2.3012 -5.8563" Properties=species:S:1:pos:R:3 pbc="T T T"
Ba 0.0000 0.0000 0.0000
Mg 2.3012 0.0000 3.0422
Mg 0.0000 2.3012 3.0422
Si 0.0000 0.0000 4.6206
Au 0.0000 0.0000 7.2332
```

Results
DFT total energy   -3.231 eV per atom
Crystal system   tetragonal
Mass density   5.502 Mg/m³

(6)
A relaxed structure of Ba2MoAuS6. Source: OQMD, functional PBE.

```
10
Lattice="4.5814 0.0000 0.0000 0.0000 4.5814 0.0000 0.0000 0.0000 13.3426" Properties=species:S:1:pos:R:3 pbc="T T T"
Ba 0.0000 0.0000 3.0692
Ba 0.0000 0.0000 10.2734
Mo 2.2907 2.2907 0.0000
Au 2.2907 2.2907 6.6713
S 0.0000 0.0000 0.0000
S 0.0000 0.0000 6.6713
S 0.0000 2.2907 5.1149
S 0.0000 2.2907 8.2277
S 2.2907 0.0000 5.1149
S 2.2907 0.0000 8.2277
```

Results
DFT total energy   -3.912 eV per atom
Magnetization   4.9 μB/f.u.
Crystal system   tetragonal
Mass density   4.506 Mg/m³

(7)
A relaxed structure of BaMoAu2S4. Source: OQMD, functional PBE.

```
8
Lattice="-3.1683 3.9142 4.1415 3.1683 -3.9142 4.1415 3.1683 3.9142 -4.1415" Properties=species:S:1:pos:R:3 pbc="T T T"
Ba 0.0000 0.0000 0.0000
Mo 0.0000 0.0000 4.1415
Au 3.1683 0.0000 2.6934
Au 0.0000 3.9142 1.4481
S 1.9101 2.5475 -1.4001
S 1.2581 -1.3667 5.5417
S 1.2581 1.3667 2.7414
S 1.9101 5.2809 1.4001
```

Results
DFT total energy   -5.124 eV per atom
Magnetization   2.0 μB/f.u.
Crystal system   orthorhombic
Mass density   6.106 Mg/m³

(8)
A relaxed structure of BaAuNO. Source: OQMD, functional PBE.

```
8
Lattice="4.6189 0.0000 0.0000 0.0000 4.1973 0.0000 0.0000 0.0000 7.2911" Properties=species:S:1:pos:R:3 pbc="T T T"
Ba 0.0000 0.1242 0.0000
Ba 0.0000 4.0731 3.6456
Au 2.3094 2.0965 1.8319
Au 2.3094 2.1008 5.4774
N 2.3094 1.3071 3.6557
N 2.3094 2.8902 0.0101
O 0.0000 2.0945 1.8286
O 0.0000 2.1028 5.4742
```

Results
DFT total energy   -5.058 eV per atom
Crystal system   orthorhombic
Mass density   8.559 Mg/m³

(9)
A relaxed structure of BaAuNO. Source: OQMD, functional PBE.

```
8
Lattice="4.3268 0.0000 0.0000 0.0000 4.3268 0.0000 0.0000 0.0000 9.3037" Properties=species:S:1:pos:R:3 pbc="T T T"
Ba 1.0817 1.0817 1.3049
Ba 3.2451 3.2451 7.9988
Au 1.0817 3.2451 4.6518
Au 3.2451 1.0817 4.6518
N 1.0817 1.0817 4.2391
N 3.2451 3.2451 5.0646
O 1.0817 3.2451 0.0000
O 3.2451 1.0817 0.0000
```

Results
DFT total energy   -4.979 eV per atom
Crystal system   tetragonal
Mass density   6.946 Mg/m³

(10)
A relaxed structure of BaAuNO. Source: OQMD, functional PBE.

```
16
Lattice="7.0109 0.0000 0.0000 0.0000 7.4079 0.0000 0.0000 0.0000 5.6719" Properties=species:S:1:pos:R:3 pbc="T T T"
Ba 0.5716 1.3824 0.0000
Ba 2.9339 1.3824 2.8360
Ba 4.0770 6.0254 0.0000
Ba 6.4393 6.0254 2.8360
Au 0.9689 4.7115 0.1091
Au 2.5365 4.7115 2.9451
Au 4.4744 2.6964 0.1091
Au 6.0419 2.6964 2.9451
N 1.0693 3.6908 3.9002
N 2.4361 3.6908 1.0642
N 4.5748 3.7170 3.9002
N 5.9415 3.7170 1.0642
O 0.3473 1.0703 2.6536
O 3.1581 1.0703 5.4896
O 3.8528 6.3375 2.6536
O 6.6636 6.3375 5.4896
```

Results
DFT total energy   -5.021 eV per atom
Crystal system   orthorhombic
Mass density   8.214 Mg/m³

(11)
A relaxed structure of BaAuNO. Source: OQMD, functional PBE.

```
8
Lattice="3.7821 0.0000 0.0000 0.0000 6.2950 0.0000 0.0000 0.0000 6.4048" Properties=species:S:1:pos:R:3 pbc="T T T"
Ba 0.0000 1.0606 0.0000
Ba 0.0000 5.2344 3.2024
Au 1.8910 2.0974 3.2482
Au 1.8910 4.1976 0.0458
N 0.0000 2.1966 3.2287
N 0.0000 4.0984 0.0263
O 1.8910 0.0535 4.7671
O 1.8910 6.2414 1.5647
```

Results
DFT total energy   -5.074 eV per atom
Crystal system   orthorhombic
Mass density   7.934 Mg/m³

(12)
A relaxed structure of BaAuNO. Source: OQMD, functional PBE.

```
8
Lattice="5.2402 0.0000 0.0000 0.0000 5.2402 0.0000 0.0000 0.0000 5.1932" Properties=species:S:1:pos:R:3 pbc="T T T"
Ba 1.3101 3.9302 0.0000
Ba 3.9302 1.3101 0.0000
Au 1.3101 1.3101 2.4367
Au 3.9302 3.9302 2.7566
N 1.3101 1.3101 0.3247
N 3.9302 3.9302 4.8685
O 1.3101 3.9302 2.5966
O 3.9302 1.3101 2.5966
```

Results
DFT total energy   -4.482 eV per atom
Crystal system   tetragonal
Mass density   8.484 Mg/m³